A relaxed structure of LaVSn2, computed with PBE-GGA.

Output
The offset from the most stable computed form is 27.1 kJ per mole of atoms. The raw total energy is -5.38 eV/atom. As for the space-group type: I-42d, No. 122. The calculation puts the density of states at the Fermi level at 0.699 states/eV per atom. Its calculated formation energy is 0.129 eV per atom.

Cell lengths 10.0104, 10.0104, 10.0104 Å; angles 150.19, 150.19, 42.66 degrees
With the nearest neighbours (Å) after each atom.
Sites, in units of the cell vectors:
La (0.0000, 0.0000, 0.0000)  4 Sn 3.26, 4 V 3.64
La (0.7500, 0.2500, 0.5000)  4 Sn 3.26, 4 V 3.64
V (0.2500, 0.7500, 0.5000)  4 Sn 2.75
V (0.5000, 0.5000, 0.0000)  4 Sn 2.75
Sn (0.2409, 0.6250, 0.1159)  2 V 2.75, 2 Sn 2.92
Sn (0.3750, 0.4909, 0.6159)  2 V 2.75, 2 Sn 2.92
Sn (0.5091, 0.1250, 0.8841)  2 V 2.75, 2 Sn 2.92
Sn (0.8750, 0.7591, 0.3841)  2 V 2.75, 2 Sn 2.92



A relaxed structure of LaV2Sn2, computed with PBE-GGA.

Output
The offset from the most stable computed form is 14.7 kJ per mole of atoms. The raw total energy is -6.25 eV/atom. As for the space-group type: P4/mbm, No. 127. The calculation puts the density of states at the Fermi level at 1.258 states/eV per atom. Its calculated formation energy is -0.020 eV per atom.

Cell lengths 8.2575, 8.2575, 3.1254 Å; angles 90.00, 90.00, 90.00 degrees
With the nearest neighbours (Å) after each atom.
Sites, in units of the cell vectors:
La (0.0000, 0.0000, 0.0000)  2 La 3.13, 4 V 3.40, 8 Sn 3.40
La (0.5000, 0.5000, 0.0000)  2 La 3.13, 4 V 3.40, 8 Sn 3.40
V (0.1004, 0.3996, 0.0000)  1 V 2.35
V (0.3996, 0.8996, 0.0000)  1 V 2.35
V (0.6004, 0.1004, 0.0000)  1 V 2.35
V (0.8996, 0.6004, 0.0000)  1 V 2.35
Sn (0.1826, 0.6826, 0.5000)  6 V 2.89-2.98, 2 Sn 3.13
Sn (0.3174, 0.1826, 0.5000)  6 V 2.89-2.98, 2 Sn 3.13
Sn (0.6826, 0.8174, 0.5000)  6 V 2.89-2.98, 2 Sn 3.13
Sn (0.8174, 0.3174, 0.5000)  6 V 2.89-2.98, 2 Sn 3.13



A relaxed structure of LaV2Sn, computed with PBE-GGA.

Output
The raw total energy is -6.10 eV/atom. As for the space-group type: I-42d, No. 122. The calculation puts the density of states at the Fermi level at 1.623 states/eV per atom. Its calculated formation energy is 0.695 eV per atom.

Cell lengths 6.4754, 6.4754, 6.4754 Å; angles 103.92, 103.92, 121.27 degrees
With the nearest neighbours (Å) after each atom.
Sites, in units of the cell vectors:
La (0.0000, 0.0000, 0.0000)  8 V 3.16-3.53, 2 Sn 3.18
La (0.7500, 0.2500, 0.5000)  8 V 3.16-3.53, 2 Sn 3.18
V (0.1661, 0.6250, 0.0411)  2 Sn 2.72
V (0.3750, 0.4161, 0.5411)  2 Sn 2.72
V (0.5839, 0.1250, 0.9589)  2 Sn 2.72
V (0.8750, 0.8339, 0.4589)  2 Sn 2.72
Sn (0.2500, 0.7500, 0.5000)  4 V 2.72
Sn (0.5000, 0.5000, 0.0000)  4 V 2.72



A relaxed structure of LaVSn2, computed with PBE-GGA.

Output
The offset from the most stable computed form is 0.0 kJ per mole of atoms. The raw total energy is -5.66 eV/atom. As for the space-group type: Fm-3m, No. 225. The calculation puts the density of states at the Fermi level at 0.432 states/eV per atom. Its calculated formation energy is -0.152 eV per atom.

Cell lengths 5.2075, 5.2075, 5.2075 Å; angles 60.00, 60.00, 60.00 degrees
With the nearest neighbours (Å) after each atom.
Sites, in units of the cell vectors:
La (0.0000, 0.0000, 0.0000)  8 Sn 3.19
V (0.5000, 0.5000, 0.5000)  8 Sn 3.19
Sn (0.2500, 0.2500, 0.2500)  4 La 3.19, 4 V 3.19
Sn (0.7500, 0.7500, 0.7500)  4 La 3.19, 4 V 3.19



A relaxed structure of La2VZnSn, computed with PBE-GGA.

Output
The raw total energy is -4.19 eV/atom. As for the space-group type: P4/mmm, No. 123. The calculation puts the density of states at the Fermi level at 1.356 states/eV per atom. Its calculated formation energy is 0.656 eV per atom.

Cell lengths 6.1007, 6.1007, 4.8305 Å; angles 90.00, 90.00, 90.00 degrees
With the nearest neighbours (Å) after each atom.
Sites, in units of the cell vectors:
La (0.0000, 0.5000, 0.0000)  2 Sn 3.05
La (0.5000, 0.0000, 0.0000)  2 Sn 3.05
V (0.0000, 0.0000, 0.5000)  8 La 3.89, 4 Zn 4.31
Zn (0.5000, 0.5000, 0.5000)  2 Sn 2.42
Sn (0.5000, 0.5000, 0.0000)  2 Zn 2.42



A relaxed structure of LaSn3W, computed with PBE-GGA.

Output
The offset from the most stable computed form is 190.4 kJ per mole of atoms. The raw total energy is -3.84 eV/atom. As for the space-group type: Pm-3m, No. 221. The calculation puts the density of states at the Fermi level at 4.194 states/eV per atom. Its calculated formation energy is 2.140 eV per atom.

Cell lengths 5.7416, 5.7416, 5.7416 Å; angles 90.00, 90.00, 90.00 degrees
With the nearest neighbours (Å) after each atom.
Sites, in units of the cell vectors:
La (0.0000, 0.0000, 0.0000)  6 Sn 2.87
Sn (0.0000, 0.0000, 0.5000)  2 La 2.87
Sn (0.0000, 0.5000, 0.0000)  2 La 2.87
Sn (0.5000, 0.0000, 0.0000)  2 La 2.87
W (0.5000, 0.5000, 0.5000)  12 Sn 4.06